[1]
This record from Alexandria describes an optimized crystal structure of Ce2Ho3ThAs6. The functional is PBE.

Cell: 9.3125 9.3125 8.3262 Å, 102.71 102.71 25.90°
Fractional positions:
Ce: 0.1674 0.1674 0.3346
Ce: 0.8326 0.8326 0.6654
Ho: 0.1669 0.1669 0.8330
Ho: 0.5000 0.5000 0.5000
Ho: 0.8331 0.8331 0.1670
Th: 0.5000 0.5000 0.0000
As: 0.0013 0.0013 0.7448
As: 0.3316 0.3316 0.9200
As: 0.3350 0.3350 0.4130
As: 0.6650 0.6650 0.5870
As: 0.6684 0.6684 0.0800
As: 0.9987 0.9987 0.2552

Values from the calculation:
- uncorrected energy (eV per atom) = -6.56
- symmetry = C2/m (12)
- density (g cm⁻³) = 7.873
- energy of formation (meV/atom) = -1479


[2]
This record from Alexandria describes an optimized crystal structure of CeHo2ThAs4. The functional is PBE.

Cell: 7.2024 4.1800 7.2358 Å, 90.00 109.57 90.00°
Fractional positions:
Ce: 0.0000 0.0000 0.0000
Ho: 0.5000 0.0000 0.5000
Ho: 0.5000 0.5000 0.0000
Th: 0.0000 0.5000 0.5000
As: 0.2574 0.5000 0.2518
As: 0.2582 0.0000 0.7536
As: 0.7418 0.0000 0.2464
As: 0.7426 0.5000 0.7482

Values from the calculation:
- uncorrected energy (eV per atom) = -6.62
- symmetry = P2/m (10)
- density (g cm⁻³) = 8.104
- energy of formation (meV/atom) = -1480


[3]
This record from Alexandria describes an optimized crystal structure of CeHo2TmAs4. The functional is PBE.

Cell: 7.1266 4.1211 7.1321 Å, 90.00 109.42 90.00°
Fractional positions:
Ce: 0.0000 0.0000 0.0000
Ho: 0.0000 0.5000 0.5000
Ho: 0.5000 0.0000 0.5000
Tm: 0.5000 0.5000 0.0000
As: 0.2527 0.0000 0.7504
As: 0.2542 0.5000 0.2526
As: 0.7458 0.5000 0.7474
As: 0.7473 0.0000 0.2496

Values from the calculation:
- uncorrected energy (eV per atom) = -6.26
- symmetry = P2/m (10)
- density (g cm⁻³) = 7.890
- energy of formation (meV/atom) = -1494


What did the third record say?
This record from Alexandria describes an optimized crystal structure of CeHo2TmAs4. The functional is PBE.

Cell: 7.1266 4.1211 7.1321 Å, 90.00 109.42 90.00°
Fractional positions:
Ce: 0.0000 0.0000 0.0000
Ho: 0.0000 0.5000 0.5000
Ho: 0.5000 0.0000 0.5000
Tm: 0.5000 0.5000 0.0000
As: 0.2527 0.0000 0.7504
As: 0.2542 0.5000 0.2526
As: 0.7458 0.5000 0.7474
As: 0.7473 0.0000 0.2496

Values from the calculation:
- uncorrected energy (eV per atom) = -6.26
- symmetry = P2/m (10)
- density (g cm⁻³) = 7.890
- energy of formation (meV/atom) = -1494


- Which formula does entry 3 have?
  CeHo2TmAs4


- Look up the uncorrected energy of the second one.
  -6.62 eV per atom


Copy entry 1 word for word.
This record from Alexandria describes an optimized crystal structure of Ce2Ho3ThAs6. The functional is PBE.

Cell: 9.3125 9.3125 8.3262 Å, 102.71 102.71 25.90°
Fractional positions:
Ce: 0.1674 0.1674 0.3346
Ce: 0.8326 0.8326 0.6654
Ho: 0.1669 0.1669 0.8330
Ho: 0.5000 0.5000 0.5000
Ho: 0.8331 0.8331 0.1670
Th: 0.5000 0.5000 0.0000
As: 0.0013 0.0013 0.7448
As: 0.3316 0.3316 0.9200
As: 0.3350 0.3350 0.4130
As: 0.6650 0.6650 0.5870
As: 0.6684 0.6684 0.0800
As: 0.9987 0.9987 0.2552

Values from the calculation:
- uncorrected energy (eV per atom) = -6.56
- symmetry = C2/m (12)
- density (g cm⁻³) = 7.873
- energy of formation (meV/atom) = -1479